## i
A geometry-optimized Pm4SmTm6 structure. Source: Alexandria, functional PBE.

Structure (POSCAR):
```
Pm4SmTm6
1.0
-4.917 -4.006 -4.416
-2.635 -3.675 6.267
-0.685 8.422 -0.114
Tm Pm Sm
6 4 1
Cartesian
-0.927 4.840 0.049
-4.731 0.971 0.981
-1.317 -1.838 3.134
-2.459 -2.003 -2.208
-5.983 -2.247 -1.468
-4.833 -2.081 3.913
-3.044 4.000 4.178
-6.913 -5.659 1.652
-4.535 3.784 -2.799
-1.982 -0.643 0.443
-3.776 -3.841 0.926
```

Values from the calculation:
Fermi-level density of states ... 15.54 states/eV per cell
SG ... No. 121
Volume ... 35.0 A^3/atom

***

## ii
A geometry-optimized Pm4SmTm6 structure. Source: Alexandria, functional PBE.

Structure (POSCAR):
```
Pm4SmTm6
1.0
-2.302 6.913 -6.342
3.169 -9.124 0.160
-4.250 -6.802 5.383
Pm Tm Sm
4 6 1
Cartesian
1.953 -5.896 0.178
-2.656 -4.454 3.424
-2.496 -11.403 1.523
-1.266 -3.185 -0.382
0.646 -10.374 2.535
-1.998 -9.547 4.397
-1.418 -6.340 0.803
0.434 -1.105 -3.091
-1.693 1.322 -2.993
-3.276 0.056 -0.479
0.000 0.000 0.000
```

Values from the calculation:
Fermi-level density of states ... 13.72 states/eV per cell
SG ... No. 121
Volume ... 33.7 A^3/atom

***

Which one is most stable, and which one is least stable? ii is the most stable of them, while i is the least stable.

***

## i
A geometry-optimized Pm3Sm2Tm5 structure. Source: Alexandria, functional PBE.

Structure (POSCAR):
```
Pm3Sm2Tm5
1.0
-2.685 3.949 4.806
-12.171 -2.189 -0.225
-7.761 -7.221 6.373
Tm Pm Sm
10 6 4
Cartesian
-11.980 -1.743 6.678
-8.204 -2.609 2.336
-14.909 -7.026 4.608
-8.783 -1.505 5.881
-10.637 -3.718 4.275
-14.413 -2.852 8.617
-7.708 1.565 6.346
-6.366 -0.409 3.943
-13.834 -3.956 5.073
-16.252 -5.052 7.011
-12.510 -5.752 7.289
-16.036 -1.286 6.425
-6.581 -4.175 4.529
-10.107 0.291 3.665
-2.014 2.962 3.605
-0.671 0.987 1.202
-5.321 2.748 4.320
-3.100 -0.228 3.231
-19.517 -5.233 7.723
-17.296 -8.209 6.634
```

Values from the calculation:
Fermi-level density of states ... 30.93 states/eV per cell
SG ... No. 72
Volume ... 34.8 A^3/atom

***

## ii
A geometry-optimized Pm3Sm2Tm5 structure. Source: Alexandria, functional PBE.

Structure (POSCAR):
```
Pm3Sm2Tm5
1.0
8.387 1.554 -3.898
0.319 8.466 -3.988
-1.748 -1.880 10.795
Sm Tm Pm
4 10 6
Cartesian
4.033 2.711 -0.389
5.140 0.000 4.936
1.818 8.139 -2.027
2.925 5.428 3.299
-0.498 5.574 2.768
0.726 2.921 0.893
2.360 4.746 -2.695
7.455 2.565 0.142
3.429 6.031 0.118
5.193 8.011 -3.129
4.597 3.393 5.604
3.528 2.108 2.791
1.764 0.128 6.039
6.232 5.218 2.016
6.898 2.026 3.356
1.173 3.411 4.899
0.059 6.114 -0.446
0.567 6.853 5.569
6.391 1.286 -2.659
5.784 4.728 -1.989
```

Values from the calculation:
Fermi-level density of states ... 33.05 states/eV per cell
SG ... No. 15
Volume ... 32.7 A^3/atom

***

Which one is most stable, and which one is least stable? ii is the most stable of them, while i is the least stable.

***

## i
A geometry-optimized Pm7SmTm4 structure. Source: Alexandria, functional PBE.

Structure (POSCAR):
```
Pm7SmTm4
1.0
3.596 0.000 0.000
-1.798 3.114 0.000
0.000 0.000 35.114
Pm Tm Sm
7 4 1
Cartesian
0.000 0.000 0.000
1.798 1.038 29.340
1.798 1.038 20.544
0.000 0.000 8.789
0.000 0.000 26.326
0.000 2.076 14.570
0.000 2.076 5.774
0.000 2.076 23.427
1.798 1.038 2.883
0.000 2.076 32.231
1.798 1.038 11.687
0.000 0.000 17.557
```

Values from the calculation:
Fermi-level density of states ... 15.10 states/eV per cell
SG ... No. 164
Volume ... 32.8 A^3/atom

***

## ii
A geometry-optimized Pm7SmTm4 structure. Source: Alexandria, functional PBE.

Structure (POSCAR):
```
Pm7SmTm4
1.0
-4.672 -3.257 4.475
4.713 -3.309 2.507
-1.836 1.900 11.186
Pm Tm Sm
7 4 1
Cartesian
-1.503 -4.724 9.659
-0.673 -0.588 13.559
-1.122 -4.078 4.608
0.880 -2.400 10.887
-0.291 0.058 8.509
-2.674 -2.266 7.281
-2.336 -1.629 2.238
-2.661 -1.571 10.776
-1.443 -4.046 13.127
0.867 -3.095 7.392
-0.352 -0.620 5.041
0.000 0.000 0.000
```

Values from the calculation:
Fermi-level density of states ... 15.06 states/eV per cell
SG ... No. 2
Volume ... 32.9 A^3/atom

***

Which one is most stable, and which one is least stable? ii is the most stable of them, while i is the least stable.

***

## i
A geometry-optimized PmSm2Tm3 structure. Source: Alexandria, functional PBE.

Structure (POSCAR):
```
PmSm2Tm3
1.0
3.498 0.000 0.000
1.749 8.876 0.118
1.749 2.198 12.605
Tm Sm Pm
6 4 2
Cartesian
1.749 1.577 0.350
1.749 2.875 10.008
5.248 9.498 12.373
1.749 2.254 3.705
5.248 8.821 9.019
5.248 8.200 2.716
5.248 6.191 11.187
1.749 4.884 1.536
3.498 2.544 6.729
3.498 8.531 5.995
3.498 5.398 4.543
3.498 5.676 8.180
```

Values from the calculation:
Fermi-level density of states ... 19.29 states/eV per cell
SG ... No. 12
Volume ... 32.5 A^3/atom

***

## ii
A geometry-optimized PmSm2Tm3 structure. Source: Alexandria, functional PBE.

Structure (POSCAR):
```
PmSm2Tm3
1.0
3.432 0.000 -0.652
-0.334 10.067 -1.760
0.421 -1.692 11.571
Tm Sm Pm
6 4 2
Cartesian
1.702 4.095 8.955
0.042 7.413 0.221
1.816 4.280 0.204
1.210 1.840 6.366
2.308 6.535 2.793
3.476 0.963 8.939
3.275 7.216 7.881
2.407 3.108 3.311
0.243 1.159 1.279
1.111 5.267 5.848
2.503 -0.253 3.815
1.015 8.628 5.345
```

Values from the calculation:
Fermi-level density of states ... 18.36 states/eV per cell
SG ... No. 12
Volume ... 32.7 A^3/atom

***

Which one is most stable, and which one is least stable? i is the most stable of them, while ii is the least stable.

***

## i
A geometry-optimized Pm5Sm4Tm2 structure. Source: Alexandria, functional PBE.

Structure (POSCAR):
```
Pm5Sm4Tm2
1.0
-1.564 2.224 2.305
5.242 -5.518 8.881
7.409 4.693 -2.258
Sm Pm Tm
4 5 2
Cartesian
5.258 -1.636 7.902
5.829 3.036 1.026
1.877 -1.004 2.242
9.210 2.403 6.686
2.736 1.664 0.250
6.983 3.233 4.374
4.104 -1.833 4.554
8.351 -0.265 8.678
-0.782 1.112 1.153
7.147 -0.252 5.092
3.940 1.652 3.836
```

Values from the calculation:
Fermi-level density of states ... 16.04 states/eV per cell
SG ... No. 12
Volume ... 33.6 A^3/atom

***

## ii
A geometry-optimized Pm5Sm4Tm2 structure. Source: Alexandria, functional PBE.

Structure (POSCAR):
```
Pm5Sm4Tm2
1.0
3.546 0.000 0.000
0.000 11.553 0.000
-1.773 -5.777 9.251
Sm Pm Tm
4 5 2
Cartesian
1.773 5.777 1.657
0.000 3.050 0.000
0.000 0.000 7.594
0.000 8.503 0.000
1.773 0.000 0.000
1.773 2.406 5.932
0.000 8.182 3.319
0.000 3.371 3.319
1.773 -2.406 5.932
0.000 0.000 3.780
1.773 5.777 5.471
```

Values from the calculation:
Fermi-level density of states ... 13.53 states/eV per cell
SG ... No. 71
Volume ... 34.5 A^3/atom

***

Which one is most stable, and which one is least stable? i is the most stable of them, while ii is the least stable.

***

## i
A geometry-optimized Pm5Sm12Tm2 structure. Source: Alexandria, functional PBE.

Structure (POSCAR):
```
Pm5Sm12Tm2
1.0
7.182 0.000 0.000
-3.591 8.607 3.566
0.000 -0.148 10.443
Sm Pm Tm
12 5 2
Cartesian
1.791 5.683 7.807
-1.791 5.683 7.807
5.382 2.776 6.201
1.809 5.728 11.479
1.782 2.732 2.529
5.400 2.732 2.529
0.000 0.262 8.088
1.800 2.776 6.201
3.591 -0.064 7.126
0.000 8.523 6.883
-1.809 5.728 11.479
3.591 8.197 5.920
0.000 3.056 9.836
3.591 5.404 4.173
0.000 5.554 4.483
3.591 2.905 9.526
0.000 -0.074 5.221
2.006 0.000 0.000
5.176 0.000 0.000
```

Values from the calculation:
Fermi-level density of states ... 31.82 states/eV per cell
SG ... No. 12
Volume ... 34.2 A^3/atom

***

## ii
A geometry-optimized Pm5Sm12Tm2 structure. Source: Alexandria, functional PBE.

Structure (POSCAR):
```
Pm5Sm12Tm2
1.0
-1.344 2.638 -5.490
-1.784 -8.698 -6.013
-10.386 -2.503 -0.931
Sm Pm Tm
12 5 2
Cartesian
-1.856 -4.398 -4.445
-1.450 -1.330 -0.833
-7.442 -7.202 -10.481
-6.072 -1.361 -1.954
-12.064 -7.233 -11.601
-7.791 -1.288 -4.900
-5.724 -7.276 -7.535
-5.808 -4.285 -4.607
-11.658 -4.166 -7.990
-3.541 -4.348 -7.410
-7.706 -4.278 -7.828
-9.973 -4.216 -5.024
-8.420 -7.201 -5.473
-10.294 -7.326 -8.492
-0.672 1.319 -2.745
-3.221 -1.238 -3.942
-5.094 -1.362 -6.961
-8.407 -3.929 -2.100
-3.763 -7.273 -4.844
```

Values from the calculation:
Fermi-level density of states ... 28.09 states/eV per cell
SG ... No. 12
Volume ... 33.7 A^3/atom

***

Which one is most stable, and which one is least stable? ii is the most stable of them, while i is the least stable.

***

## i
A geometry-optimized Pm2Sm4Tm5 structure. Source: Alexandria, functional PBE.

Structure (POSCAR):
```
Pm2Sm4Tm5
1.0
-6.823 2.883 0.211
-5.578 -3.683 0.084
-4.294 -1.290 8.871
Tm Pm Sm
5 2 4
Cartesian
-9.781 -0.430 7.106
-4.936 -2.486 4.478
-9.917 -0.390 2.154
-6.915 -1.659 2.061
-6.778 -1.699 7.013
-7.288 1.703 1.315
-9.408 -3.792 7.853
-4.010 -0.054 1.202
-12.686 -2.036 7.965
-9.125 -2.883 4.558
-7.570 0.793 4.609
```

Values from the calculation:
Fermi-level density of states ... 16.69 states/eV per cell
SG ... No. 12
Volume ... 32.9 A^3/atom

***

## ii
A geometry-optimized Pm2Sm4Tm5 structure. Source: Alexandria, functional PBE.

Structure (POSCAR):
```
Pm2Sm4Tm5
1.0
-3.287 1.399 0.185
-6.711 -6.632 0.012
13.106 -2.685 10.688
Tm Sm Pm
5 4 2
Cartesian
2.997 -7.766 7.818
-1.644 0.699 0.093
2.429 -4.381 6.908
0.111 -0.152 3.067
0.678 -3.537 3.977
-2.066 -5.563 5.035
-3.855 -4.765 2.045
5.174 -2.356 5.850
6.963 -3.153 8.840
7.480 -6.614 9.714
-4.372 -1.304 1.171
```

Values from the calculation:
Fermi-level density of states ... 14.32 states/eV per cell
SG ... No. 2
Volume ... 32.1 A^3/atom

***

Which one is most stable, and which one is least stable? ii is the most stable of them, while i is the least stable.

***

## i
A geometry-optimized Pm5Sm2Tm12 structure. Source: Alexandria, functional PBE.

Structure (POSCAR):
```
Pm5Sm2Tm12
1.0
7.746 1.178 1.163
-3.309 5.931 -5.386
2.153 -0.017 12.584
Tm Pm Sm
12 5 2
Cartesian
7.598 1.715 4.161
6.122 3.412 6.937
0.166 4.786 7.453
2.523 5.120 -2.895
4.366 0.867 5.246
3.698 4.538 0.360
0.468 3.680 1.424
4.066 1.972 11.256
2.891 2.554 8.002
6.424 2.306 0.908
2.224 6.225 3.116
-1.009 5.377 4.200
1.076 -0.008 6.292
1.647 3.100 4.705
4.942 3.992 3.656
-0.752 4.246 -1.838
7.341 2.846 10.199
3.454 5.669 6.414
3.136 1.423 1.948
```

Values from the calculation:
Fermi-level density of states ... 26.56 states/eV per cell
SG ... No. 2
Volume ... 31.5 A^3/atom

***

## ii
A geometry-optimized Pm5Sm2Tm12 structure. Source: Alexandria, functional PBE.

Structure (POSCAR):
```
Pm5Sm2Tm12
1.0
-5.760 -5.453 4.162
4.641 -3.635 -7.978
6.521 -5.289 2.096
Pm Tm Sm
5 12 2
Cartesian
-0.069 -7.622 -0.443
3.261 -2.645 1.048
2.516 -4.821 -2.834
2.887 -9.556 1.114
5.472 -6.755 -1.276
5.531 -5.952 -4.369
5.330 -11.002 -0.986
-3.544 -6.798 1.879
3.006 -8.343 -2.544
6.183 -9.347 -3.688
2.396 -6.034 0.824
-0.781 -5.030 1.969
-0.083 -9.502 -2.925
8.947 -7.579 -3.599
-0.129 -8.425 2.649
0.072 -3.374 -0.734
5.485 -4.874 1.206
-3.870 -3.664 2.796
-1.890 -1.789 1.366
```

Values from the calculation:
Fermi-level density of states ... 27.50 states/eV per cell
SG ... No. 12
Volume ... 32.6 A^3/atom

***

Which one is most stable, and which one is least stable? i is the most stable of them, while ii is the least stable.